# 1
GaSn2WN | PBE | relaxed

Results
D(E_F) (states/eV/cell): 2.2
Total DFT energy (no corrections) (Ry per atom): -0.4333
Energy relative to the elements, uncorrected (meV per atom): 567

Structure (CIF):
```
data_GaSn2WN
_chemical_formula_sum 'Ga1 Sn2 W1 N1'
_cell_length_a 5.0723
_cell_length_b 5.0723
_cell_length_c 3.9188
_cell_angle_alpha 90.00
_cell_angle_beta 90.00
_cell_angle_gamma 90.00
_symmetry_space_group_name_H-M 'P 4/m m m'
_symmetry_Int_Tables_number 123
_symmetry_space_group_name_Hall '-P 4 2'
loop_
_atom_site_label
_atom_site_type_symbol
_atom_site_fract_x
_atom_site_fract_y
_atom_site_fract_z
_atom_site_occupancy
Ga1 Ga 0.0000 0.0000 0.0000 1
Sn1 Sn 0.0000 0.5000 0.5000 1
W1 W 0.5000 0.5000 0.0000 1
N1 N 0.5000 0.5000 0.5000 1
```

# 2
Y4GaSnN | PBE | relaxed

Results
D(E_F) (states/eV/cell): 5.6
Total DFT energy (no corrections) (Ry per atom): -0.5003
Energy relative to the elements, uncorrected (meV per atom): -919

Structure (CIF):
```
data_Y4GaSnN
_chemical_formula_sum 'Y16 Ga4 Sn4 N4'
_cell_length_a 6.6018
_cell_length_b 15.8031
_cell_length_c 6.6070
_cell_angle_alpha 90.00
_cell_angle_beta 90.00
_cell_angle_gamma 90.00
_symmetry_space_group_name_H-M 'C m c m'
_symmetry_Int_Tables_number 63
_symmetry_space_group_name_Hall '-C 2c 2'
loop_
_atom_site_label
_atom_site_type_symbol
_atom_site_fract_x
_atom_site_fract_y
_atom_site_fract_z
_atom_site_occupancy
Y1 Y 0.0000 0.0808 0.2500 1
Y2 Y 0.0000 0.4105 0.2500 1
Y3 Y 0.2500 0.2500 0.0000 1
Ga1 Ga 0.0000 0.1150 0.7500 1
Sn1 Sn 0.0000 0.3924 0.7500 1
N1 N 0.0000 0.2514 0.2500 1
```

# 3
Sr3Ga3N5 | PBE | relaxed

Results
Total DFT energy (no corrections) (Ry per atom): -0.4158
Energy relative to the elements, uncorrected (meV per atom): -589

Structure (CIF):
```
data_Sr3Ga3N5
_chemical_formula_sum 'Sr6 Ga6 N10'
_cell_length_a 6.0126
_cell_length_b 7.2463
_cell_length_c 8.7704
_cell_angle_alpha 108.39
_cell_angle_beta 103.53
_cell_angle_gamma 95.24
_symmetry_space_group_name_H-M 'P -1'
_symmetry_Int_Tables_number 2
loop_
_symmetry_equiv_pos_as_xyz
'x,y,z'
'-x,-y,-z'
loop_
_atom_site_label
_atom_site_type_symbol
_atom_site_fract_x
_atom_site_fract_y
_atom_site_fract_z
_atom_site_occupancy
Sr1 Sr 0.1556 0.1544 0.2023 1
Sr2 Sr 0.1649 0.3624 0.8716 1
Sr3 Sr 0.3193 0.9101 0.6090 1
Ga1 Ga 0.2098 0.4543 0.5672 1
Ga2 Ga 0.3779 0.6217 0.2833 1
Ga3 Ga 0.4090 0.8156 0.9733 1
N1 N 0.1130 0.5532 0.3815 1
N2 N 0.2431 0.7219 0.1085 1
N3 N 0.2649 0.0277 0.9062 1
N4 N 0.3408 0.2116 0.5265 1
N5 N 0.4550 0.6103 0.7755 1
```

# 4
Sr2GaN2 | PBE | relaxed

Results
D(E_F) (states/eV/cell): 5.9
Polymorph energy (0 for the lowest one) (meV/atom): 822
Total DFT energy (no corrections) (Ry per atom): -0.3156
Energy relative to the elements, uncorrected (meV per atom): 314

Structure (CIF):
```
data_Sr2GaN2
_chemical_formula_sum 'Sr4 Ga2 N4'
_cell_length_a 4.7665
_cell_length_b 4.7665
_cell_length_c 10.0780
_cell_angle_alpha 90.00
_cell_angle_beta 90.00
_cell_angle_gamma 90.00
_symmetry_space_group_name_H-M 'I 4/m m m'
_symmetry_Int_Tables_number 139
_symmetry_space_group_name_Hall '-I 4 2'
loop_
_atom_site_label
_atom_site_type_symbol
_atom_site_fract_x
_atom_site_fract_y
_atom_site_fract_z
_atom_site_occupancy
Sr1 Sr 0.0000 0.0000 0.1733 1
Ga1 Ga 0.0000 0.0000 0.5000 1
N1 N 0.0000 0.5000 0.2500 1
```

# 5
Sr4Ga2N | PBE | relaxed

Results
D(E_F) (states/eV/cell): 13.2
Polymorph energy (0 for the lowest one) (meV/atom): 91
Total DFT energy (no corrections) (Ry per atom): -0.2432
Energy relative to the elements, uncorrected (meV per atom): -294

Structure (CIF):
```
data_Sr4Ga2N
_chemical_formula_sum 'Sr8 Ga4 N2'
_cell_length_a 5.2651
_cell_length_b 5.2651
_cell_length_c 15.9127
_cell_angle_alpha 90.00
_cell_angle_beta 90.00
_cell_angle_gamma 90.00
_symmetry_space_group_name_H-M 'I 4/m m m'
_symmetry_Int_Tables_number 139
_symmetry_space_group_name_Hall '-I 4 2'
loop_
_atom_site_label
_atom_site_type_symbol
_atom_site_fract_x
_atom_site_fract_y
_atom_site_fract_z
_atom_site_occupancy
Sr1 Sr 0.0000 0.0000 0.1643 1
Sr2 Sr 0.0000 0.5000 0.0000 1
Ga1 Ga 0.0000 0.0000 0.3711 1
N1 N 0.0000 0.0000 0.0000 1
```

# 6
Sr8GaN2 | PBE | relaxed

Results
D(E_F) (states/eV/cell): 13.7
Total DFT energy (no corrections) (Ry per atom): -0.2410
Energy relative to the elements, uncorrected (meV per atom): -266

Structure (CIF):
```
data_Sr8GaN2
_chemical_formula_sum 'Sr16 Ga2 N4'
_cell_length_a 15.0436
_cell_length_b 8.7079
_cell_length_c 7.5206
_cell_angle_alpha 90.00
_cell_angle_beta 99.86
_cell_angle_gamma 90.00
_symmetry_space_group_name_H-M 'C 1 2/m 1'
_symmetry_Int_Tables_number 12
loop_
_symmetry_equiv_pos_as_xyz
'x,y,z'
'-x,-y,-z'
'-x,y,-z'
'x,-y,z'
'x+1/2,y+1/2,z'
'-x+1/2,-y+1/2,-z'
'-x+1/2,y+1/2,-z'
'x+1/2,-y+1/2,z'
loop_
_atom_site_label
_atom_site_type_symbol
_atom_site_fract_x
_atom_site_fract_y
_atom_site_fract_z
_atom_site_occupancy
Sr1 Sr 0.1105 0.2102 0.2519 1
Sr2 Sr 0.1566 0.5000 0.7380 1
Sr3 Sr 0.1706 0.0000 0.8207 1
Ga1 Ga 0.0000 0.0000 0.5000 1
N1 N 0.1886 0.0000 0.1422 1
```

# 7
Sr2GaN2 | PBE | relaxed

Results
D(E_F) (states/eV/cell): 3.7
Polymorph energy (0 for the lowest one) (meV/atom): 830
Total DFT energy (no corrections) (Ry per atom): -0.3150
Energy relative to the elements, uncorrected (meV per atom): 322

Structure (CIF):
```
data_Sr2GaN2
_chemical_formula_sum 'Sr4 Ga2 N4'
_cell_length_a 7.6952
_cell_length_b 7.6952
_cell_length_c 3.1419
_cell_angle_alpha 90.00
_cell_angle_beta 90.00
_cell_angle_gamma 90.00
_symmetry_space_group_name_H-M 'P 4/m b m'
_symmetry_Int_Tables_number 127
_symmetry_space_group_name_Hall '-P 4 2ab'
loop_
_atom_site_label
_atom_site_type_symbol
_atom_site_fract_x
_atom_site_fract_y
_atom_site_fract_z
_atom_site_occupancy
Sr1 Sr 0.1398 0.3602 0.0000 1
Ga1 Ga 0.0000 0.0000 0.0000 1
N1 N 0.1636 0.6636 0.5000 1
```

# 8
Sr2GaN2 | PBE | relaxed

Results
D(E_F) (states/eV/cell): 3.8
Polymorph energy (0 for the lowest one) (meV/atom): 0
Total DFT energy (no corrections) (Ry per atom): -0.3761
Energy relative to the elements, uncorrected (meV per atom): -508

Structure (CIF):
```
data_Sr2GaN2
_chemical_formula_sum 'Sr8 Ga4 N8'
_cell_length_a 11.8067
_cell_length_b 5.4013
_cell_length_c 7.2189
_cell_angle_alpha 90.00
_cell_angle_beta 121.49
_cell_angle_gamma 90.00
_symmetry_space_group_name_H-M 'C 1 2/m 1'
_symmetry_Int_Tables_number 12
loop_
_symmetry_equiv_pos_as_xyz
'x,y,z'
'-x,-y,-z'
'-x,y,-z'
'x,-y,z'
'x+1/2,y+1/2,z'
'-x+1/2,-y+1/2,-z'
'-x+1/2,y+1/2,-z'
'x+1/2,-y+1/2,z'
loop_
_atom_site_label
_atom_site_type_symbol
_atom_site_fract_x
_atom_site_fract_y
_atom_site_fract_z
_atom_site_occupancy
Sr1 Sr 0.0347 0.0000 0.2690 1
Sr2 Sr 0.1761 0.5000 0.0933 1
Ga1 Ga 0.1335 0.5000 0.6283 1
N1 N 0.0193 0.5000 0.3083 1
N2 N 0.1899 0.0000 0.1211 1
```

What are the total magnetization values for these records? In order: 0.000, 0.000, 0.000, 0.200, 0.304, 0.000, 0.001, 0.163 μB per atom.